# 1
{
  "formula": "Li2ZrGeTe4",
  "functional": "PBE",
  "state": "relaxed",
  "lattice_angstrom": [[-2.738, -1.761, -2.625], [4.728, -5.492, -1.248], [-4.234, -1.793, 5.619]],
  "species": ["Li", "Li", "Zr", "Ge", "Te", "Te", "Te", "Te"],
  "fractional_positions": [[0.500, 0.000, 0.500], [0.000, 0.500, 0.500], [0.500, 0.500, 0.000], [0.000, 0.000, 0.000], [0.500, 0.254, 0.244], [0.500, 0.746, 0.756], [0.000, 0.253, 0.758], [0.000, 0.747, 0.242]],
  "e_tot_ev_per_atom": -4.3993,
  "crystal_system": "monoclinic"
}

***

# 2
{
  "formula": "Li4ThGe2",
  "functional": "PBE",
  "state": "relaxed",
  "lattice_angstrom": [[-4.330, -0.091, 0.687], [-0.401, -6.882, -3.441], [1.150, -3.461, 6.787]],
  "species": ["Li", "Li", "Li", "Li", "Li", "Li", "Li", "Li", "Th", "Th", "Ge", "Ge", "Ge", "Ge"],
  "fractional_positions": [[0.000, 0.100, 0.344], [0.000, 0.900, 0.656], [0.500, 0.156, 0.600], [0.500, 0.844, 0.400], [0.500, 0.400, 0.844], [0.500, 0.600, 0.156], [0.000, 0.344, 0.100], [0.000, 0.656, 0.900], [0.500, 0.000, 0.000], [0.000, 0.500, 0.500], [0.000, 0.210, 0.790], [0.000, 0.790, 0.210], [0.500, 0.710, 0.710], [0.500, 0.290, 0.290]],
  "ef_ev_per_fu": -3.25,
  "crystal_system": "tetragonal"
}

***

For the records above, the corresponding spin magnetization values read 0.00 0.00 μB/f.u..